Dy2PaCd GGA-PBE relaxed; energy of formation from the pure elements = 0.14 eV/atom; relative energy among the computed polymorphs = 0.206 eV/atom; SG = P4/mmm, No. 123; electronic total energy = -4.762 eV per atom; spin magnetization = 0.00 μB/f.u.
1.0
-0.8294 3.8615 -2.2188
-0.8212 -2.5244 -4.0863
-4.7195 -0.3459 1.1622
Pa Dy Cd
1 2 1
Direct
0.5000 0.5000 0.5000 Pa
0.0000 0.0000 0.5000 Dy
0.0000 0.5000 0.0000 Dy
0.5000 0.0000 0.0000 Cd